An optimized crystal structure of KAl2Ir2. Source: the Alexandria database, functional GGA-PBEsol.

Computed properties:
D(E_F)	3.265	states/eV/cell
total energy	-6.123	eV per atom
total moment	0.0	μB/f.u.

Cell: 7.6414 7.6414 2.8104 Å, 90.00 90.00 90.00°
Closest atoms and distances in Å follow each position.
Positions (direct):
K 0.0000 0.0000 0.0000  2 K 2.81, 4 Ir 2.93
K 0.5000 0.5000 0.0000  2 K 2.81, 4 Ir 2.93
Al 0.1405 0.3595 0.5000  6 Ir 2.60-2.70, 2 Al 2.81
Al 0.3595 0.8595 0.5000  6 Ir 2.60-2.70, 2 Al 2.81
Al 0.6405 0.1405 0.5000  6 Ir 2.60-2.70, 2 Al 2.81
Al 0.8595 0.6405 0.5000  6 Ir 2.60-2.70, 2 Al 2.81
Ir 0.1462 0.6462 0.0000  6 Al 2.60-2.70, 2 Ir 2.81
Ir 0.3538 0.1462 0.0000  6 Al 2.60-2.70, 2 Ir 2.81
Ir 0.6462 0.8538 0.0000  6 Al 2.60-2.70, 2 Ir 2.81
Ir 0.8538 0.3538 0.0000  6 Al 2.60-2.70, 2 Ir 2.81